1.
This record from Alexandria describes a relaxed Rb3Sn2Br3Cl4 crystal. The functional is GGA-PBE.

Cell and atoms, written as CIF:
```
data_Rb3Sn2Br3Cl4
_cell_length_a 5.907
_cell_length_b 28.411
_cell_length_c 5.673
_cell_angle_alpha 90.00
_cell_angle_beta 90.00
_cell_angle_gamma 90.00
_symmetry_space_group_name_H-M 'I m m 2'
_symmetry_Int_Tables_number 44
_symmetry_space_group_name_Hall 'I 2 -2'
loop_
_atom_site_label
_atom_site_fract_x
_atom_site_fract_y
_atom_site_fract_z
Rb1 0.000 0.000 0.000
Rb2 0.000 0.183 0.865
Sn1 0.000 0.391 0.891
Br1 0.000 0.105 0.378
Br2 0.000 0.500 0.846
Cl1 0.000 0.296 0.928
Cl2 0.000 0.385 0.421
```

* E_tot: -3.33 eV per atom
* formation energy without anion corrections: -16.66 eV per formula unit



2.
This record from Alexandria describes a relaxed KAgSbS2 crystal. The functional is GGA-PBE.

Cell and atoms, written as CIF:
```
data_KAgSbS2
_cell_length_a 7.385
_cell_length_b 4.583
_cell_length_c 8.236
_cell_angle_alpha 90.00
_cell_angle_beta 98.22
_cell_angle_gamma 90.00
_symmetry_space_group_name_H-M 'P 1 2/c 1'
_symmetry_Int_Tables_number 13
_symmetry_space_group_name_Hall '-P 2yc'
loop_
_atom_site_label
_atom_site_fract_x
_atom_site_fract_y
_atom_site_fract_z
K1 0.000 0.137 0.250
Ag1 0.500 0.000 0.000
Sb1 0.500 0.486 0.750
S1 0.252 0.364 0.970
```

* E_tot: -3.64 eV per atom
* formation energy without anion corrections: -1.88 eV per formula unit



3.
This record from Alexandria describes a relaxed ZnFe2Ag crystal. The functional is GGA-PBE.

Cell and atoms, written as CIF:
```
data_ZnFe2Ag
_cell_length_a 6.042
_cell_length_b 6.042
_cell_length_c 6.042
_cell_angle_alpha 90.00
_cell_angle_beta 90.00
_cell_angle_gamma 90.00
_symmetry_space_group_name_H-M 'F -4 3 m'
_symmetry_Int_Tables_number 216
_symmetry_space_group_name_Hall 'F -4 2 3'
loop_
_atom_site_label
_atom_site_fract_x
_atom_site_fract_y
_atom_site_fract_z
Zn1 0.000 0.000 0.000
Fe1 0.000 0.000 0.500
Fe2 0.250 0.250 0.250
Ag1 0.250 0.250 0.750
```

* E_tot: -5.01 eV per atom